Record 1
Entry from the Alexandria database: a geometry-optimized ScCdHgAu structure (GGA-PBE).

The calculation puts the energy of formation at -435 meV per atom.

The structure belongs to space group F-43m (No. 216); the cell edges are 6.869, 6.869 and 6.869 Å and the angles 90.00°, 90.00° and 90.00°. The asymmetric unit holds Sc at (0.000, 0.000, 0.000), Cd at (0.000, 0.000, 0.500), Hg at (0.250, 0.250, 0.250) and Au at (0.250, 0.250, 0.750).

***

Record 2
Entry from the Alexandria database: a geometry-optimized Sm2CdHgAu4 structure (GGA-PBE).

The calculation puts the energy of formation at -625 meV per atom.

The structure belongs to space group R-3m (No. 166, hexagonal axes); the cell edges are 5.0241, 5.0241 and 24.3285 Å and the angles 90.00°, 90.00° and 120.00°. The asymmetric unit holds Sm at (0.0000, 0.0000, 0.2477), Cd at (0.0000, 0.0000, 0.0000), Hg at (0.0000, 0.0000, 0.5000), Au at (0.0000, 0.0000, 0.1211) and Au at (0.0000, 0.0000, 0.3730).

***

Record 3
Entry from the Alexandria database: a geometry-optimized Sm4Cd2HgAu structure (GGA-PBE).

The calculation puts the energy of formation at -458 meV per atom.

The structure belongs to space group R-3m (No. 166, hexagonal axes); the cell edges are 5.3355, 5.3355 and 26.0754 Å and the angles 90.00°, 90.00° and 120.00°. The asymmetric unit holds Sm at (0.0000, 0.0000, 0.1215), Sm at (0.0000, 0.0000, 0.3722), Cd at (0.0000, 0.0000, 0.2461), Hg at (0.0000, 0.0000, 0.5000) and Au at (0.0000, 0.0000, 0.0000).

***

Record 4
Entry from the Alexandria database: a geometry-optimized SmCdHgAu structure (GGA-PBE).

The calculation puts the energy of formation at -534 meV per atom.

The structure belongs to space group F-43m (No. 216); the cell edges are 7.156, 7.156 and 7.156 Å and the angles 90.00°, 90.00° and 90.00°. The asymmetric unit holds Sm at (0.000, 0.000, 0.000), Cd at (0.000, 0.000, 0.500), Hg at (0.250, 0.250, 0.750) and Au at (0.250, 0.250, 0.250).

***

Record 5
Entry from the Alexandria database: a geometry-optimized Sm4CdHgAu2 structure (GGA-PBE).

The calculation puts the energy of formation at -576 meV per atom.

The structure belongs to space group R-3m (No. 166, hexagonal axes); the cell edges are 5.2522, 5.2522 and 26.2203 Å and the angles 90.00°, 90.00° and 120.00°. The asymmetric unit holds Sm at (0.0000, 0.0000, 0.1228), Sm at (0.0000, 0.0000, 0.3743), Cd at (0.0000, 0.0000, 0.5000), Hg at (0.0000, 0.0000, 0.0000) and Au at (0.0000, 0.0000, 0.2421).

***

Record 6
Entry from the Alexandria database: a geometry-optimized SrCdHg2Au2 structure (GGA-PBE).

The calculation puts the energy of formation at -363 meV per atom.

The structure belongs to space group P-3m1 (No. 164); the cell edges are 4.8930, 4.8930 and 7.0860 Å and the angles 90.00°, 90.00° and 120.00°. The asymmetric unit holds Sr at (0.0000, 0.0000, 0.0000), Cd at (0.0000, 0.0000, 0.5000), Hg at (0.3333, 0.6667, 0.2728) and Au at (0.3333, 0.6667, 0.7158).

***

Record 7
Entry from the Alexandria database: a geometry-optimized Sr2CdHg6Au structure (GGA-PBE).

The calculation puts the energy of formation at -280 meV per atom.

The structure belongs to space group P-1 (No. 2); the cell edges are 5.910, 7.344 and 7.428 Å and the angles 90.61°, 109.59° and 111.06°. The asymmetric unit holds Sr at (0.244, 0.227, 0.243), Cd at (0.000, 0.500, 0.500), Hg at (0.166, 0.691, 0.161), Hg at (0.256, 0.936, 0.581), Hg at (0.337, 0.338, 0.810) and Au at (0.500, 0.000, 0.000).

***

Record 8
Entry from the Alexandria database: a geometry-optimized SrCdHgAu2 structure (GGA-PBE).

The calculation puts the energy of formation at -468 meV per atom.

The structure belongs to space group I-4m2 (No. 119); the cell edges are 4.404, 4.404 and 13.084 Å and the angles 90.00°, 90.00° and 90.00°. The asymmetric unit holds Sr at (0.000, 0.000, 0.000), Cd at (0.000, 0.500, 0.250), Hg at (0.000, 0.500, 0.750) and Au at (0.000, 0.000, 0.396).

***

Record 9
Entry from the Alexandria database: a geometry-optimized Sr3Cd2Hg4Au2 structure (GGA-PBE).

The calculation puts the energy of formation at -442 meV per atom.

The structure belongs to space group P-3m1 (No. 164); the cell edges are 4.9836, 4.9836 and 14.7294 Å and the angles 90.00°, 90.00° and 120.00°. The asymmetric unit holds Sr at (0.0000, 0.0000, 0.0000), Sr at (0.0000, 0.0000, 0.2634), Cd at (0.3333, 0.6667, 0.5790), Hg at (0.3333, 0.6667, 0.3794), Hg at (0.3333, 0.6667, 0.8678) and Au at (0.3333, 0.6667, 0.1345).

***

Record 10
Entry from the Alexandria database: a geometry-optimized SrCd2HgAu2 structure (GGA-PBE).

The calculation puts the energy of formation at -375 meV per atom.

The structure belongs to space group P-3m1 (No. 164); the cell edges are 4.8765, 4.8765 and 7.1095 Å and the angles 90.00°, 90.00° and 120.00°. The asymmetric unit holds Sr at (0.0000, 0.0000, 0.0000), Cd at (0.3333, 0.6667, 0.3046), Hg at (0.0000, 0.0000, 0.5000) and Au at (0.3333, 0.6667, 0.7407).

***

Record 11
Entry from the Alexandria database: a geometry-optimized Sr2Cd3HgAu4 structure (GGA-PBE).

The calculation puts the energy of formation at -433 meV per atom.

The structure belongs to space group P-4m2 (No. 115); the cell edges are 4.775, 4.775 and 11.369 Å and the angles 90.00°, 90.00° and 90.00°. The asymmetric unit holds Sr at (0.000, 0.500, 0.240), Cd at (0.000, 0.500, 0.876), Cd at (0.500, 0.500, 0.500), Hg at (0.000, 0.000, 0.500), Au at (0.000, 0.000, 0.000), Au at (0.000, 0.500, 0.639) and Au at (0.500, 0.500, 0.000).

***

Record 12
Entry from the Alexandria database: a geometry-optimized Sr2CdHg3Au4 structure (GGA-PBE).

The calculation puts the energy of formation at -390 meV per atom.

The structure belongs to space group P-4m2 (No. 115); the cell edges are 4.647, 4.647 and 12.023 Å and the angles 90.00°, 90.00° and 90.00°. The asymmetric unit holds Sr at (0.000, 0.500, 0.239), Cd at (0.000, 0.000, 0.500), Hg at (0.000, 0.500, 0.866), Hg at (0.500, 0.500, 0.500), Au at (0.000, 0.000, 0.000), Au at (0.000, 0.500, 0.639) and Au at (0.500, 0.500, 0.000).